[1]
VASP calculation (PBE) on Th2Zn3Rh2 after structural relaxation.

Properties
- E_form (kJ/mol of atoms) = -59.73
- calculated density (Mg/m³) = 10.32
- N(E_F) (states/eV per atom) = 0.55
- E (eV per formula unit) = -37.7

Lattice parameters (Å, degrees): 4.224 5.361 7.204 109.86 90.00 113.20
Fractional positions:
Zn  0.500  0.000  0.000
Zn  0.369  0.738  0.561
Rh  0.142  0.284  0.193
Th  0.857  0.714  0.231
Th  0.143  0.286  0.769
Zn  0.631  0.262  0.439
Rh  0.858  0.716  0.807

[2]
VASP calculation (PBE) on Rb2CdSi2Se6 after structural relaxation.

Properties
- ΔE_f (raw) (kJ/mol of atoms) = -56.13
- calculated density (Mg/m³) = 3.58
- N(E_F) (states/eV per atom) = 0.13
- E (eV per formula unit) = -41.0

Lattice parameters (Å, degrees): 7.373 7.373 9.078 66.04 66.04 60.00
Fractional positions:
Se  0.245  0.245  0.748
Se  0.761  0.245  0.748
Rb  0.777  0.777  0.669
Se  0.239  0.755  0.252
Se  0.755  0.755  0.252
Rb  0.223  0.223  0.331
Se  0.245  0.761  0.748
Cd  0.000  0.000  0.000
Se  0.755  0.239  0.252
Si  0.590  0.590  0.231
Si  0.410  0.410  0.769

[3]
VASP calculation (PBE) on Fe2PdRh4 after structural relaxation.

Properties
- E_form (kJ/mol of atoms) = 13.16
- calculated density (Mg/m³) = 10.41
- N(E_F) (states/eV per atom) = 1.37
- E (eV per formula unit) = -50.6

Lattice parameters (Å, degrees): 2.672 4.123 9.446 102.63 98.13 90.00
Site moments in Bohr magnetons follow the coordinates.
Fractional positions:
Rh  0.776  0.276  0.552  0.01
Pd  0.000  0.000  0.000  0.22
Rh  0.141  0.141  0.282  0.24
Rh  0.224  0.724  0.448  0.01
Fe  0.420  0.420  0.840  3.03
Rh  0.859  0.859  0.718  0.24
Fe  0.580  0.580  0.160  3.03

[4]
VASP calculation (PBE) on Pm2CdTe5 after structural relaxation.

Properties
- ΔE_f (raw) (kJ/mol of atoms) = -78.21
- calculated density (Mg/m³) = 5.43
- N(E_F) (states/eV per atom) = 0.61
- E (eV per formula unit) = -32.6

Lattice parameters (Å, degrees): 6.256 8.153 13.499 90.00 90.00 112.56
Fractional positions:
Pm  0.176  0.352  0.575
Cd  0.219  0.437  0.250
Pm  0.176  0.352  0.925
Cd  0.781  0.563  0.750
Te  0.969  0.937  0.601
Te  0.669  0.338  0.923
Te  0.031  0.063  0.399
Te  0.669  0.338  0.577
Te  0.969  0.937  0.899
Te  0.331  0.662  0.077
Te  0.310  0.620  0.750
Te  0.031  0.063  0.101
Pm  0.824  0.648  0.075
Te  0.690  0.380  0.250
Te  0.331  0.662  0.423
Pm  0.824  0.648  0.425

Number 1: total magnetization 0.0 μB/cell. Number 2: total magnetization 0.0 μB/cell. Number 3: total magnetization 6.7 μB/cell. Number 4: total magnetization 0.0 μB/cell.